No. 1
The following is a PBE calculation of a relaxed Sr4NiSn8 crystal, from Alexandria via LeMat-Bulk.

Results
formation energy: -5.60 eV per formula unit
crystal system: orthorhombic
space-group type: Pmm2, No. 25
N(E_F): 5.978 states/eV/cell
raw total energy: -50.13 eV for the cell shown

Cell: 4.7516 4.7549 17.2135 Å, 90.00 90.00 90.00°
Last column: nearest neighbours and their distance in Å.
Sites, in units of the cell vectors:
1 Sr 0.5000 0.5000 0.3928  10 Sn 3.48-3.62, 4 Ni 3.75
2 Sr 0.0000 0.5000 0.6043  10 Sn 3.48-3.64
3 Ni 0.0000 0.0000 0.2961  5 Sn 2.57-2.60
4 Sr 0.5000 0.0000 0.9175  8 Sn 3.39-3.58
5 Sn 0.0000 0.0000 0.7621  6 Sn 3.29-3.36, 4 Sr 3.58-3.61
6 Sn 0.0000 0.5000 0.8941  4 Sn 3.26-3.29, 4 Sr 3.39
7 Sn 0.5000 0.0000 0.2389  2 Ni 2.57
8 Sn 0.0000 0.5000 0.2356  2 Ni 2.60
9 Sn 0.5000 0.0000 0.5518  2 Sn 2.99
10 Sr 0.0000 0.0000 0.0926  8 Sn 3.37-3.46, 1 Ni 3.50
11 Sn 0.5000 0.5000 0.7647  6 Sn 3.26-3.36, 4 Sr 3.55-3.64
12 Sn 0.5000 0.5000 0.1063  4 Sn 3.26-3.30, 4 Sr 3.37
13 Sn 0.0000 0.0000 0.4462  1 Ni 2.58

=====

No. 2
The following is a PBE calculation of a relaxed InGaAg14 crystal, from Alexandria via LeMat-Bulk.

Results
formation energy: 0.35 eV per formula unit
crystal system: orthorhombic
space-group type: Amm2, No. 38
N(E_F): 4.607 states/eV/cell
raw total energy: -45.33 eV for the cell shown

Cell: 5.8075 5.8075 9.5656 Å, 90.00 90.00 115.84°
Last column: nearest neighbours and their distance in Å.
Sites, in units of the cell vectors:
1 Ag 0.3801 0.1313 0.2495  10 Ag 2.90-3.15, 1 Ga 2.92, 1 In 2.95
2 Ag 0.8761 0.1239 0.7544  11 Ag 2.90-3.08, 1 In 3.01
3 Ag 0.3801 0.1313 0.7505  10 Ag 2.90-3.15, 1 Ga 2.92, 1 In 2.95
4 Ag 0.3727 0.6273 0.7502  11 Ag 2.90-3.08, 1 Ga 2.98
5 Ag 0.5576 0.9499 0.5000  2 In 2.90-2.91, 2 Ga 2.90-2.91, 8 Ag 2.94-3.13
6 Ag 0.6984 0.3016 0.0000  12 Ag 2.90-3.08
7 Ag 0.1953 0.8047 0.0000  12 Ag 2.90-3.08
8 Ag 0.2008 0.3062 0.0000  12 Ag 2.90-3.13
9 Ag 0.8687 0.6199 0.7505  10 Ag 2.90-3.15, 1 Ga 2.92, 1 In 2.95
10 Ag 0.6938 0.7992 0.0000  12 Ag 2.90-3.13
11 Ga 0.5531 0.4469 0.5000  10 Ag 2.90-2.98, 2 In 3.08
12 Ag 0.0501 0.4424 0.5000  2 In 2.90-2.91, 2 Ga 2.90-2.91, 8 Ag 2.94-3.13
13 Ag 0.3727 0.6273 0.2498  11 Ag 2.90-3.08, 1 Ga 2.98
14 Ag 0.8761 0.1239 0.2456  11 Ag 2.90-3.08, 1 In 3.01
15 In 0.0561 0.9439 0.5000  10 Ag 2.90-3.01, 2 Ga 3.08
16 Ag 0.8687 0.6199 0.2495  10 Ag 2.90-3.15, 1 Ga 2.92, 1 In 2.95

=====

No. 3
The following is a PBE calculation of a relaxed Sc2InSe crystal, from Alexandria via LeMat-Bulk.

Results
crystal system: hexagonal
E_form (uncorrected): -0.987 eV/atom
space-group type: P6_3/mmc, No. 194
N(E_F): 5.489 states/eV/cell
polymorph energy (0 for the lowest one): 0.0 kJ/mol of atoms
raw total energy: -45.67 eV for the cell shown

Cell: 3.6835 3.6835 15.4442 Å, 90.00 90.00 120.00°
Last column: nearest neighbours and their distance in Å.
Sites, in units of the cell vectors:
1 Sc 0.3333 0.6667 0.3948  3 Se 2.68
2 Sc 0.6667 0.3333 0.6052  3 Se 2.68
3 Se 0.0000 0.0000 0.5000  6 Sc 2.68
4 In 0.3333 0.6667 0.7500  6 Sc 3.09
5 In 0.6667 0.3333 0.2500  6 Sc 3.09
6 Sc 0.6667 0.3333 0.8948  3 Se 2.68
7 Sc 0.3333 0.6667 0.1052  3 Se 2.68
8 Se 0.0000 0.0000 0.0000  6 Sc 2.68

=====

No. 4
The following is a PBE calculation of a relaxed Hf2Sn2As crystal, from Alexandria via LeMat-Bulk.

Results
formation energy: -1.82 eV per formula unit
crystal system: tetragonal
space-group type: P4/mbm, No. 127
N(E_F): 7.177 states/eV/cell
raw total energy: -68.76 eV for the cell shown

Cell: 7.1253 7.1253 4.4439 Å, 90.00 90.00 90.00°
Last column: nearest neighbours and their distance in Å.
Sites, in units of the cell vectors:
1 Hf 0.8402 0.6598 0.0000  2 As 2.68, 2 Sn 2.94
2 Sn 0.8512 0.3512 0.5000  6 Hf 2.94-3.13, 1 Sn 3.00
3 As 0.0000 0.0000 0.0000  4 Hf 2.68
4 As 0.5000 0.5000 0.0000  4 Hf 2.68
5 Hf 0.3402 0.8402 0.0000  2 As 2.68, 2 Sn 2.94
6 Sn 0.1488 0.6488 0.5000  6 Hf 2.94-3.13, 1 Sn 3.00
7 Hf 0.1598 0.3402 0.0000  2 As 2.68, 2 Sn 2.94
8 Sn 0.3512 0.1488 0.5000  6 Hf 2.94-3.13, 1 Sn 3.00
9 Hf 0.6598 0.1598 0.0000  2 As 2.68, 2 Sn 2.94
10 Sn 0.6488 0.8512 0.5000  6 Hf 2.94-3.13, 1 Sn 3.00